1.
Here is a relaxed AgAuN crystal from Alexandria. Energies are from PBE.

## Properties
The electronic total energy is -3.6783 eV per atom.

Unit cell a=2.9545 b=3.3466 c=9.2092 alpha=94.03 beta=90.04 gamma=89.99
With the nearest neighbours (Å) after each atom.
Atoms (fractional coordinates):
N 0.2487 0.6888 0.7002  4 Ag 2.31-2.32, 2 Au 2.34-2.35
Au 0.2504 0.2710 0.1015  2 N 2.34-2.35
Ag 0.2514 0.8208 0.3657  4 N 2.31-2.32
Ag 0.7486 0.1792 0.6343  4 N 2.31-2.32
N 0.7513 0.3112 0.2998  4 Ag 2.31-2.32, 2 Au 2.34-2.35
Au 0.7496 0.7290 0.8985  2 N 2.34-2.35

2.
Here is a relaxed TbSmTh2N4 crystal from Alexandria. Energies are from PBE.

## Properties
The electronic total energy is -8.7667 eV per atom.

Unit cell a=3.6180 b=6.2645 c=6.2214 alpha=109.59 beta=90.00 gamma=90.00
With the nearest neighbours (Å) after each atom.
Atoms (fractional coordinates):
N 0.0000 0.7550 0.2549  3 Th 2.53-2.55, 1 Tb 2.55, 2 Sm 2.58
Th 0.0000 0.5000 0.5000  6 N 2.55
N 0.0000 0.2450 0.7451  3 Th 2.53-2.55, 1 Tb 2.55, 2 Sm 2.58
Sm 0.5000 0.5000 0.0000  6 N 2.58
N 0.5000 0.2471 0.2520  3 Th 2.53-2.55, 2 Tb 2.55, 1 Sm 2.58
Th 0.5000 0.0000 0.5000  6 N 2.53
Tb 0.0000 0.0000 0.0000  6 N 2.55
N 0.5000 0.7529 0.7480  3 Th 2.53-2.55, 2 Tb 2.55, 1 Sm 2.58

3.
Here is a relaxed NbSiTe2I crystal from Alexandria. Energies are from PBE.

## Properties
The electronic total energy is -3.8006 eV per atom.

Unit cell a=5.2668 b=5.2668 c=5.2934 alpha=90.00 beta=90.00 gamma=90.00
With the nearest neighbours (Å) after each atom.
Atoms (fractional coordinates):
Nb 0.5000 0.5000 0.5000  4 I 3.72, 8 Te 3.73
Te 0.5000 0.0000 0.0000  2 Si 2.63
I 0.0000 0.0000 0.5000  2 Si 2.65
Si 0.0000 0.0000 0.0000  4 Te 2.63, 2 I 2.65
Te 0.0000 0.5000 0.0000  2 Si 2.63